(1)
A relaxed NaReW crystal. Source: the Alexandria database, functional PBE.

Calculated values
Total moment   0.0 Bohr magnetons per cell
ρ   10653 kg/m³
Energy relative to the elements   809 meV/atom
Crystal system   tetragonal

Lattice parameters (Å, degrees): 3.1251 3.1251 12.5461 90.00 90.00 90.00
Space group I4mm (No. 107)
One atom of each set of equivalent atoms:
Na (0.0000, 0.0000, 0.0000) [2 per cell]
Re (0.0000, 0.0000, 0.3069) [2 per cell]
W (0.0000, 0.0000, 0.7073) [2 per cell]


(2)
A relaxed YAl2 crystal. Source: the Alexandria database, functional PBE.

Calculated values
Total moment   0.0 Bohr magnetons per cell
ρ   2981 kg/m³
Energy relative to the elements   247 meV/atom
Crystal system   cubic

Lattice parameters (Å, degrees): 6.8282 6.8282 6.8282 90.00 90.00 90.00
Space group Fm-3m (No. 225)
One atom of each set of equivalent atoms:
Y (0.0000, 0.0000, 0.0000) [4 per cell]
Al (0.2500, 0.2500, 0.2500) [8 per cell]